Entry 1:
VASP calculation (PBE-GGA) on crystalline ErTm3Pu at its relaxed geometry.

a b c (Å): 6.3734 5.9497 16.7373
angles (deg): 90.00 112.32 90.00
Last column: nearest neighbours and their distance in Å.
Element x y z (fractional)
1 Er 0.2132 0.0725 0.0904  2 Pu 3.14-3.27, 1 Er 3.32, 6 Tm 3.36-3.51
2 Er 0.2132 0.4275 0.5904  2 Pu 3.14-3.27, 1 Er 3.32, 6 Tm 3.36-3.51
3 Er 0.7868 0.5725 0.4096  2 Pu 3.14-3.27, 1 Er 3.32, 6 Tm 3.36-3.51
4 Er 0.7868 0.9275 0.9096  2 Pu 3.14-3.27, 1 Er 3.32, 6 Tm 3.36-3.51
5 Tm 0.0314 0.0729 0.4095  2 Pu 3.14-3.27, 4 Tm 3.32-3.47, 3 Er 3.36-3.51
6 Tm 0.0314 0.4271 0.9095  2 Pu 3.14-3.27, 4 Tm 3.32-3.47, 3 Er 3.36-3.51
7 Tm 0.1585 0.5290 0.3068  2 Pu 3.32-3.66, 8 Tm 3.36-3.69, 2 Er 3.43-3.72
8 Tm 0.1585 0.9710 0.8068  2 Pu 3.32-3.66, 8 Tm 3.36-3.69, 2 Er 3.43-3.72
9 Tm 0.4547 0.0287 0.3069  2 Pu 3.32-3.66, 2 Er 3.37-3.47, 7 Tm 3.43-3.69
10 Tm 0.4547 0.4713 0.8069  2 Pu 3.32-3.66, 2 Er 3.37-3.47, 7 Tm 3.43-3.69
11 Tm 0.5453 0.5287 0.1931  2 Pu 3.32-3.66, 2 Er 3.37-3.47, 7 Tm 3.43-3.69
12 Tm 0.5453 0.9713 0.6931  2 Pu 3.32-3.66, 2 Er 3.37-3.47, 7 Tm 3.43-3.69
13 Tm 0.8415 0.0290 0.1932  2 Pu 3.32-3.66, 8 Tm 3.36-3.69, 2 Er 3.43-3.72
14 Tm 0.8415 0.4710 0.6932  2 Pu 3.32-3.66, 8 Tm 3.36-3.69, 2 Er 3.43-3.72
15 Tm 0.9686 0.5729 0.0905  2 Pu 3.14-3.27, 4 Tm 3.32-3.47, 3 Er 3.36-3.51
16 Tm 0.9686 0.9271 0.5905  2 Pu 3.14-3.27, 4 Tm 3.32-3.47, 3 Er 3.36-3.51
17 Pu 0.4442 0.7496 0.0001  2 Pu 3.05-3.06, 2 Er 3.14-3.27, 4 Tm 3.14-3.32
18 Pu 0.4442 0.7504 0.5001  2 Pu 3.05-3.06, 2 Er 3.14-3.27, 4 Tm 3.14-3.32
19 Pu 0.5558 0.2504 0.9999  2 Pu 3.05-3.06, 2 Er 3.14-3.27, 4 Tm 3.14-3.32
20 Pu 0.5558 0.2496 0.4999  2 Pu 3.05-3.06, 2 Er 3.14-3.27, 4 Tm 3.14-3.32

Relative energy among the computed polymorphs, kJ/mol of formula units: 16
Calculated formation energy, eV/f.u.: 0.476
E, eV for the cell shown: -127.3
Volume, Å³ per atom: 29.36



Entry 2:
VASP calculation (PBE-GGA) on crystalline NbTl3P at its relaxed geometry.

a b c (Å): 5.5231 5.5231 5.5231
angles (deg): 90.00 90.00 90.00
Last column: nearest neighbours and their distance in Å.
Element x y z (fractional)
1 Nb 0.0000 0.0000 0.0000  6 Tl 2.76
2 Tl 0.0000 0.0000 0.5000  2 Nb 2.76
3 Tl 0.0000 0.5000 0.0000  2 Nb 2.76
4 Tl 0.5000 0.0000 0.0000  2 Nb 2.76
5 P 0.5000 0.5000 0.5000  12 Tl 3.91

Relative energy among the computed polymorphs, kJ/mol of formula units: 0
Calculated formation energy, eV/f.u.: 5.522
E, eV for the cell shown: -17.1
Volume, Å³ per atom: 33.70



Entry 3:
VASP calculation (PBE-GGA) on crystalline Tb3Er5Se8 at its relaxed geometry.

a b c (Å): 8.1237 8.1237 8.1237
angles (deg): 59.93 59.93 59.93
Last column: nearest neighbours and their distance in Å.
Element x y z (fractional)
1 Tb 0.0000 0.5000 0.5000  6 Se 2.89
2 Tb 0.5000 0.0000 0.5000  6 Se 2.89
3 Tb 0.5000 0.5000 0.0000  6 Se 2.89
4 Er 0.0000 0.0000 0.0000  6 Se 2.87
5 Er 0.0000 0.0000 0.5000  6 Se 2.85
6 Er 0.0000 0.5000 0.0000  6 Se 2.85
7 Er 0.5000 0.0000 0.0000  6 Se 2.85
8 Er 0.5000 0.5000 0.5000  6 Se 2.87
9 Se 0.2460 0.7500 0.7500  4 Er 2.85-2.87, 2 Tb 2.89
10 Se 0.2480 0.2480 0.2480  3 Er 2.85, 3 Tb 2.89
11 Se 0.2500 0.2500 0.7540  4 Er 2.85-2.87, 2 Tb 2.89
12 Se 0.2500 0.7540 0.2500  4 Er 2.85-2.87, 2 Tb 2.89
13 Se 0.7500 0.2460 0.7500  4 Er 2.85-2.87, 2 Tb 2.89
14 Se 0.7500 0.7500 0.2460  4 Er 2.85-2.87, 2 Tb 2.89
15 Se 0.7520 0.7520 0.7520  3 Er 2.85, 3 Tb 2.89
16 Se 0.7540 0.2500 0.2500  4 Er 2.85-2.87, 2 Tb 2.89

E, eV for the cell shown: -92.1
Volume, Å³ per atom: 23.65
Raw formation energy, eV per formula unit: -27.5



Entry 4:
VASP calculation (PBE-GGA) on crystalline RbZrCr2Ga at its relaxed geometry.

a b c (Å): 4.8673 4.8673 5.2462
angles (deg): 90.00 90.00 90.00
Last column: nearest neighbours and their distance in Å.
Element x y z (fractional)
1 Rb 0.0000 0.0000 0.0000  4 Cr 2.43, 2 Zr 2.62
2 Zr 0.0000 0.0000 0.5000  2 Rb 2.62
3 Cr 0.0000 0.5000 0.0000  2 Rb 2.43
4 Cr 0.5000 0.0000 0.0000  2 Rb 2.43
5 Ga 0.5000 0.5000 0.5000  4 Zr 3.44, 8 Cr 3.58

Calculated formation energy, eV/f.u.: 11.568
E, eV for the cell shown: -20.2
Volume, Å³ per atom: 24.86